A relaxed structure of PmNbCr2O6. Source: the Alexandria database, functional PBE+U.

Space group   No. 1
Total DFT energy (no corrections)   -0.6114 Ry/atom
V   131.4 Å³/cell
Calculated density   5.5 Mg/m³

a = 5.4862 Å, b = 5.4945 Å, c = 5.7792 Å
α = 62.29°, β = 65.59°, γ = 61.48°
Atoms (fractional coordinates):
Pm: 0.0000 0.0000 0.0000
Nb: 0.5095 0.5133 0.4660
Cr: 0.2247 0.2043 0.3602
Cr: 0.7083 0.7143 0.8570
O: 0.1711 0.7915 0.6228
O: 0.3209 0.5716 0.1885
O: 0.4397 0.1333 0.6413
O: 0.6007 0.8856 0.1530
O: 0.7672 0.4395 0.6639
O: 0.8974 0.3402 0.1746